(1)
The following is a PBE calculation of an optimized crystal structure of Pr5BTe4, from Alexandria via LeMat-Bulk.

VASP energy: -5.482 eV per atom
Spin magnetization: 0.00 μB/atom
Uncorrected formation energy: -1168 meV/atom
Space-group type: I4, No. 79
Calculated density: 6.5 Mg/m³

Unit cell a=7.711 b=7.711 c=7.711 alpha=99.68 beta=99.68 gamma=131.59
Sites, in units of the cell vectors:
Pr (0.000, 0.000, 0.000)
Pr (0.275, 0.627, 0.833)
Pr (0.442, 0.275, 0.648)
Pr (0.627, 0.794, 0.352)
Pr (0.794, 0.442, 0.167)
B (0.565, 0.565, 0.000)
Te (0.121, 0.340, 0.395)
Te (0.340, 0.945, 0.219)
Te (0.725, 0.121, 0.781)
Te (0.945, 0.725, 0.605)

(2)
The following is a PBE calculation of an optimized crystal structure of PrTiB12, from Alexandria via LeMat-Bulk.

VASP energy: -6.809 eV per atom
Spin magnetization: 0.11 μB/atom
E_form: -180 meV per atom
Space-group type: P4/mmm, No. 123
Calculated density: 3.8 Mg/m³

Unit cell a=4.115 b=4.115 c=8.208 alpha=90.00 beta=90.00 gamma=90.00
Sites, in units of the cell vectors:
Pr (0.000, 0.000, 0.000)
Ti (0.000, 0.000, 0.500)
B (0.199, 0.500, 0.254)
B (0.199, 0.500, 0.746)
B (0.500, 0.199, 0.254)
B (0.500, 0.199, 0.746)
B (0.500, 0.500, 0.101)
B (0.500, 0.500, 0.402)
B (0.500, 0.500, 0.598)
B (0.500, 0.500, 0.899)
B (0.500, 0.801, 0.254)
B (0.500, 0.801, 0.746)
B (0.801, 0.500, 0.254)
B (0.801, 0.500, 0.746)

- spin magnetization of number 1 (Pr5BTe4)?
  0.00 μB/atom

Repeat the first record exactly.
The following is a PBE calculation of an optimized crystal structure of Pr5BTe4, from Alexandria via LeMat-Bulk.

VASP energy: -5.482 eV per atom
Spin magnetization: 0.00 μB/atom
Uncorrected formation energy: -1168 meV/atom
Space-group type: I4, No. 79
Calculated density: 6.5 Mg/m³

Unit cell a=7.711 b=7.711 c=7.711 alpha=99.68 beta=99.68 gamma=131.59
Sites, in units of the cell vectors:
Pr (0.000, 0.000, 0.000)
Pr (0.275, 0.627, 0.833)
Pr (0.442, 0.275, 0.648)
Pr (0.627, 0.794, 0.352)
Pr (0.794, 0.442, 0.167)
B (0.565, 0.565, 0.000)
Te (0.121, 0.340, 0.395)
Te (0.340, 0.945, 0.219)
Te (0.725, 0.121, 0.781)
Te (0.945, 0.725, 0.605)